{
  "formula": "AlS2N2",
  "functional": "PBEsol",
  "state": "optimized geometry",
  "lattice_angstrom": [[3.5256, 0.0000, 0.0000], [0.0000, 3.5256, 0.0000], [0.0000, 0.0000, 6.3519]],
  "species": ["Al", "S", "S", "N", "N"],
  "frac_coords": [[0.0000, 0.0000, 0.0000], [0.0000, 0.0000, 0.5000], [0.5000, 0.5000, 0.5000], [0.0000, 0.5000, 0.0000], [0.5000, 0.0000, 0.0000]],
  "n_ef_per_ev_atom": 0.794,
  "e_form_raw_ev_per_atom": 0.905,
  "e_tot_ev_per_cell": -25.39,
  "de_polymorph_ev_per_atom": 0.000
}